The following is a PBE+U calculation of a relaxed structure of PaMn2GeO6, from Alexandria via LeMat-Bulk.

Output
M_tot = 9.20 Bohr magnetons per cell
V = 130 Å³/f.u.
ρ = 6.53 g cm⁻³
Total energy = -80.1 eV per cell

a b c (Å): 5.5225 5.5221 5.8546
angles (deg): 61.86 61.86 60.00
Last column: nearest neighbours and their distance in Å.
Atoms (fractional coordinates):
Pa 0.8146 0.8146 0.5562  6 O 2.18-2.24
Mn 0.5296 0.5296 0.4111  6 O 2.15-2.39
Mn 0.0281 0.0281 0.9157  3 O 2.13
Ge 0.3160 0.3162 0.0514  6 O 2.09-2.14
O 0.5960 0.2084 0.2591  1 Ge 2.10, 1 Mn 2.15, 1 Pa 2.24
O 0.2085 0.9366 0.2591  1 Ge 2.09, 1 Mn 2.15, 1 Pa 2.24
O 0.9366 0.5958 0.2591  1 Ge 2.09, 1 Mn 2.15, 1 Pa 2.24
O 0.4212 0.7000 0.7677  1 Mn 2.13, 1 Ge 2.14, 1 Pa 2.18
O 0.6999 0.1110 0.7679  1 Mn 2.13, 1 Ge 2.14, 1 Pa 2.18
O 0.1111 0.4212 0.7680  1 Mn 2.13, 1 Ge 2.14, 1 Pa 2.18